#i
This record from the Alexandria database describes HfGeRh3 after structural relaxation. The functional is PBE-GGA.

Geometry as POSCAR:
```
HfGeRh3
1.0
4.494 0.000 0.000
0.000 4.494 0.000
0.000 0.000 4.494
Hf Ge Rh
1 1 3
Direct
0.000 0.000 0.000
0.500 0.500 0.500
0.000 0.500 0.500
0.500 0.000 0.500
0.500 0.500 0.000
```

Calculated values
total magnetic moment	0.0	μB per cell


#ii
This record from the Alexandria database describes HfGeRh3 after structural relaxation. The functional is PBE-GGA.

Geometry as POSCAR:
```
HfGeRh3
1.0
6.238 0.000 0.000
-3.119 5.403 0.000
0.000 0.000 4.916
Hf Ge Rh
2 2 6
Direct
0.333 0.667 0.250
0.667 0.333 0.750
0.000 0.000 0.000
0.000 0.000 0.500
0.192 0.384 0.750
0.192 0.808 0.750
0.384 0.192 0.250
0.616 0.808 0.750
0.808 0.192 0.250
0.808 0.616 0.250
```

Calculated values
total magnetic moment	0.0	μB per cell


#iii
This record from the Alexandria database describes HfGeRh3 after structural relaxation. The functional is PBE-GGA.

Geometry as POSCAR:
```
HfGeRh3
1.0
4.770 0.000 0.000
0.000 4.770 0.000
0.000 0.000 4.770
Hf Ge Rh
1 1 3
Direct
0.000 0.000 0.000
0.500 0.500 0.500
0.000 0.000 0.500
0.000 0.500 0.000
0.500 0.000 0.000
```

Calculated values
total magnetic moment	0.0	μB per cell


Stability comparison, relative energies in meV per atom: #i 417; #ii 0; #iii 1202